Entry 1:
# Ac2GaAsPd6 (GGA-PBE, optimized geometry)
# ΔH_f (0 K): -0.7661 eV per atom
# Density of states at the Fermi level: 4.449 states/eV/f.u.
data_Ac2GaAsPd6
_cell_length_a 5.623
_cell_length_b 6.720
_cell_length_c 6.831
_cell_angle_alpha 77.29
_cell_angle_beta 65.77
_cell_angle_gamma 65.29
_symmetry_space_group_name_H-M 'P -1'
_symmetry_Int_Tables_number 2
_symmetry_space_group_name_Hall '-P 1'
loop_
_atom_site_label
_atom_site_type_symbol
_atom_site_fract_x
_atom_site_fract_y
_atom_site_fract_z
Ac1 Ac 0.250 0.222 0.279
Ga1 Ga 0.500 0.500 0.500
As1 As 0.000 0.000 0.000
Pd1 Pd 0.248 0.751 0.253
Pd2 Pd 0.251 0.249 0.747
Pd3 Pd 0.252 0.602 0.894

Entry 2:
# Ac3GaAs2Pd9 (GGA-PBE, optimized geometry)
# ΔH_f (0 K): -0.6730 eV per atom
# Density of states at the Fermi level: 6.912 states/eV/f.u.
data_Ac3GaAs2Pd9
_cell_length_a 6.5999
_cell_length_b 6.5999
_cell_length_c 8.8824
_cell_angle_alpha 90.00
_cell_angle_beta 90.00
_cell_angle_gamma 120.00
_symmetry_space_group_name_H-M 'P -3 m 1'
_symmetry_Int_Tables_number 164
_symmetry_space_group_name_Hall '-P 3 2"'
loop_
_atom_site_label
_atom_site_type_symbol
_atom_site_fract_x
_atom_site_fract_y
_atom_site_fract_z
Ac1 Ac 0.0000 0.0000 0.0000
Ac2 Ac 0.3333 0.6667 0.6621
Ga1 Ga 0.0000 0.0000 0.5000
As1 As 0.3333 0.6667 0.1797
Pd1 Pd 0.0000 0.5000 0.0000
Pd2 Pd 0.1438 0.2876 0.2914